LiAsAu2O6: optimized geometry, PBE-GGA.

Unit cell a=7.147 b=7.147 c=6.245 alpha=90.00 beta=90.00 gamma=75.61
Sites, in units of the cell vectors:
Li: 0.142 0.858 0.750
Li: 0.858 0.142 0.250
As: 0.339 0.661 0.250
As: 0.661 0.339 0.750
Au: 0.262 0.262 0.000
Au: 0.262 0.262 0.500
Au: 0.738 0.738 0.000
Au: 0.738 0.738 0.500
O: 0.134 0.165 0.250
O: 0.165 0.134 0.750
O: 0.258 0.742 0.011
O: 0.258 0.742 0.489
O: 0.362 0.399 0.250
O: 0.399 0.362 0.750
O: 0.601 0.638 0.250
O: 0.638 0.601 0.750
O: 0.742 0.258 0.511
O: 0.742 0.258 0.989
O: 0.835 0.866 0.250
O: 0.866 0.835 0.750

Output
Formation energy from raw total energies   -0.681 eV per atom
E_tot   -4.9676 eV/atom
Crystal system   orthorhombic
Space group   No. 63
M_tot   0.00 μB per formula unit


LiAsAuO4: optimized geometry, PBE-GGA.

Unit cell a=5.094 b=5.094 c=5.094 alpha=113.96 beta=113.96 gamma=100.83
Sites, in units of the cell vectors:
Li: 0.000 0.000 0.000
As: 0.250 0.750 0.500
Au: 0.500 0.500 0.000
O: 0.207 0.733 0.137
O: 0.267 0.404 0.474
O: 0.596 0.070 0.863
O: 0.930 0.793 0.526

Output
Formation energy from raw total energies   -0.970 eV per atom
Density of states at the Fermi level   0.17 states/eV/f.u.
E_tot   -5.2091 eV/atom
Crystal system   tetragonal
Space group   No. 82
M_tot   1.02 μB per formula unit


LiPaAsAu: optimized geometry, PBE-GGA.

Unit cell a=4.871 b=4.871 c=4.871 alpha=60.00 beta=60.00 gamma=60.00
Sites, in units of the cell vectors:
Li: 0.000 0.000 0.000
Pa: 0.500 0.500 0.500
As: 0.750 0.750 0.750
Au: 0.250 0.250 0.250

Output
Density of states at the Fermi level   4.86 states/eV/f.u.
E_tot   -5.3842 eV/atom
Crystal system   cubic
Space group   No. 216
M_tot   1.21 μB per formula unit


LiPmAsAu: optimized geometry, PBE-GGA.

Unit cell a=4.965 b=4.965 c=4.965 alpha=60.00 beta=60.00 gamma=60.00
Sites, in units of the cell vectors:
Li: 0.000 0.000 0.000
Pm: 0.500 0.500 0.500
As: 0.250 0.250 0.250
Au: 0.750 0.750 0.750

Output
Density of states at the Fermi level   0.99 states/eV/f.u.
E_tot   -4.4754 eV/atom
Crystal system   cubic
Space group   No. 216
M_tot   0.00 μB per formula unit


Li2PrAs2Au2: optimized geometry, PBE-GGA.

Unit cell a=8.345 b=8.345 c=8.345 alpha=30.48 beta=30.48 gamma=30.48
Sites, in units of the cell vectors:
Li: 0.147 0.147 0.147
Li: 0.853 0.853 0.853
Pr: 0.000 0.000 0.000
As: 0.260 0.260 0.260
As: 0.740 0.740 0.740
Au: 0.438 0.438 0.438
Au: 0.562 0.562 0.562

Output
Density of states at the Fermi level   1.72 states/eV/f.u.
E_tot   -4.2667 eV/atom
Crystal system   trigonal
Space group   No. 166
M_tot   0.00 μB per formula unit


LiPrAsAu: optimized geometry, PBE-GGA.

Unit cell a=5.023 b=5.023 c=5.023 alpha=60.00 beta=60.00 gamma=60.00
Sites, in units of the cell vectors:
Li: 0.000 0.000 0.000
Pr: 0.500 0.500 0.500
As: 0.750 0.750 0.750
Au: 0.250 0.250 0.250

Output
Density of states at the Fermi level   0.89 states/eV/f.u.
E_tot   -4.4664 eV/atom
Crystal system   cubic
Space group   No. 216
M_tot   0.00 μB per formula unit


Li2AsPtAu: optimized geometry, PBE-GGA.

Unit cell a=4.466 b=4.466 c=4.853 alpha=90.00 beta=90.00 gamma=90.00
Sites, in units of the cell vectors:
Li: 0.000 0.500 0.000
Li: 0.500 0.000 0.000
As: 0.000 0.000 0.000
Pt: 0.500 0.500 0.500
Au: 0.000 0.000 0.500

Output
Density of states at the Fermi level   1.75 states/eV/f.u.
E_tot   -3.3236 eV/atom
Crystal system   tetragonal
Space group   No. 123
M_tot   0.00 μB per formula unit


LiPuAsAu: optimized geometry, PBE-GGA.

Unit cell a=4.882 b=4.882 c=4.882 alpha=60.00 beta=60.00 gamma=60.00
Sites, in units of the cell vectors:
Li: 0.000 0.000 0.000
Pu: 0.500 0.500 0.500
As: 0.750 0.750 0.750
Au: 0.250 0.250 0.250

Output
Density of states at the Fermi level   11.98 states/eV/f.u.
E_tot   -6.6574 eV/atom
Crystal system   cubic
Space group   No. 216
M_tot   5.06 μB per formula unit


RbLi2AsAu: optimized geometry, PBE-GGA.

Unit cell a=5.031 b=5.031 c=5.215 alpha=90.00 beta=90.00 gamma=90.00
Sites, in units of the cell vectors:
Rb: 0.000 0.000 0.000
Li: 0.000 0.500 0.500
Li: 0.500 0.000 0.500
As: 0.500 0.500 0.500
Au: 0.500 0.500 0.000

Output
Density of states at the Fermi level   1.87 states/eV/f.u.
E_tot   -2.8866 eV/atom
Crystal system   tetragonal
Space group   No. 123
M_tot   0.00 μB per formula unit


RbLiAsAu2: optimized geometry, PBE-GGA.

Unit cell a=5.212 b=5.212 c=4.949 alpha=90.00 beta=90.00 gamma=90.00
Sites, in units of the cell vectors:
Rb: 0.000 0.000 0.000
Li: 0.500 0.500 0.000
As: 0.500 0.500 0.500
Au: 0.000 0.500 0.500
Au: 0.500 0.000 0.500

Output
Density of states at the Fermi level   1.92 states/eV/f.u.
E_tot   -3.0911 eV/atom
Crystal system   tetragonal
Space group   No. 123
M_tot   0.00 μB per formula unit


Li2AsAuS4: optimized geometry, PBE-GGA.

Unit cell a=6.712 b=6.710 c=5.592 alpha=65.40 beta=65.36 gamma=49.24
Sites, in units of the cell vectors:
Li: 0.000 0.000 0.500
Li: 0.500 0.500 0.000
As: 0.250 0.250 0.750
Au: 0.752 0.752 0.248
S: 0.146 0.598 0.854
S: 0.355 0.902 0.098
S: 0.598 0.146 0.402
S: 0.902 0.355 0.645

Output
Formation energy from raw total energies   -0.511 eV per atom
E_tot   -4.0441 eV/atom
Crystal system   orthorhombic
Space group   No. 42
M_tot   0.00 μB per formula unit


LiSb2AsAu: optimized geometry, PBE-GGA.

Unit cell a=5.499 b=5.499 c=5.050 alpha=90.00 beta=90.00 gamma=90.00
Sites, in units of the cell vectors:
Li: 0.000 0.000 0.000
Sb: 0.000 0.500 0.500
Sb: 0.500 0.000 0.500
As: 0.500 0.500 0.000
Au: 0.500 0.500 0.500

Output
Formation energy from raw total energies   0.451 eV per atom
Density of states at the Fermi level   3.32 states/eV/f.u.
E_tot   -3.1663 eV/atom
Crystal system   tetragonal
Space group   No. 123
M_tot   0.00 μB per formula unit


Li2ScAsAu: optimized geometry, PBE-GGA.

Unit cell a=5.445 b=5.445 c=4.862 alpha=90.00 beta=90.00 gamma=90.00
Sites, in units of the cell vectors:
Li: 0.000 0.500 0.000
Li: 0.500 0.000 0.000
Sc: 0.000 0.000 0.000
As: 0.000 0.000 0.500
Au: 0.500 0.500 0.500

Output
Density of states at the Fermi level   4.02 states/eV/f.u.
E_tot   -3.0514 eV/atom
Crystal system   tetragonal
Space group   No. 123
M_tot   0.12 μB per formula unit


LiSmAsAu: optimized geometry, PBE-GGA.

Unit cell a=4.947 b=4.947 c=4.947 alpha=60.00 beta=60.00 gamma=60.00
Sites, in units of the cell vectors:
Li: 0.000 0.000 0.000
Sm: 0.500 0.500 0.500
As: 0.750 0.750 0.750
Au: 0.250 0.250 0.250

Output
Density of states at the Fermi level   0.98 states/eV/f.u.
E_tot   -4.4695 eV/atom
Crystal system   cubic
Space group   No. 216
M_tot   0.00 μB per formula unit


Sr2LiAs3Au4: optimized geometry, PBE-GGA.

Unit cell a=4.423 b=4.423 c=11.349 alpha=90.00 beta=90.00 gamma=90.00
Sites, in units of the cell vectors:
Sr: 0.000 0.500 0.237
Sr: 0.500 0.000 0.763
Li: 0.000 0.000 0.500
As: 0.000 0.500 0.858
As: 0.500 0.000 0.142
As: 0.500 0.500 0.500
Au: 0.000 0.000 0.000
Au: 0.000 0.500 0.631
Au: 0.500 0.000 0.369
Au: 0.500 0.500 0.000

Output
Density of states at the Fermi level   3.07 states/eV/f.u.
E_tot   -3.8308 eV/atom
Crystal system   tetragonal
Space group   No. 115
M_tot   0.00 μB per formula unit


SrLi2As2Au2: optimized geometry, PBE-GGA.

Unit cell a=8.530 b=8.530 c=8.530 alpha=30.46 beta=30.46 gamma=30.46
Sites, in units of the cell vectors:
Sr: 0.000 0.000 0.000
Li: 0.140 0.140 0.140
Li: 0.860 0.860 0.860
As: 0.250 0.250 0.250
As: 0.750 0.750 0.750
Au: 0.432 0.432 0.432
Au: 0.568 0.568 0.568

Output
Density of states at the Fermi level   1.38 states/eV/f.u.
E_tot   -3.7947 eV/atom
Crystal system   trigonal
Space group   No. 166
M_tot   0.00 μB per formula unit


Li2TbAs2Au2: optimized geometry, PBE-GGA.

Unit cell a=8.206 b=8.206 c=8.206 alpha=30.68 beta=30.68 gamma=30.68
Sites, in units of the cell vectors:
Li: 0.148 0.148 0.148
Li: 0.852 0.852 0.852
Tb: 0.000 0.000 0.000
As: 0.264 0.264 0.264
As: 0.736 0.736 0.736
Au: 0.438 0.438 0.438
Au: 0.562 0.562 0.562

Output
Density of states at the Fermi level   1.66 states/eV/f.u.
E_tot   -4.2173 eV/atom
Crystal system   trigonal
Space group   No. 166
M_tot   0.00 μB per formula unit


LiThAsAu: optimized geometry, PBE-GGA.

Unit cell a=4.983 b=4.983 c=4.983 alpha=60.00 beta=60.00 gamma=60.00
Sites, in units of the cell vectors:
Li: 0.000 0.000 0.000
Th: 0.500 0.500 0.500
As: 0.750 0.750 0.750
Au: 0.250 0.250 0.250

Output
Density of states at the Fermi level   2.25 states/eV/f.u.
E_tot   -5.0522 eV/atom
Crystal system   cubic
Space group   No. 216
M_tot   0.00 μB per formula unit


LiTiAs2Au: optimized geometry, PBE-GGA.

Unit cell a=4.805 b=4.805 c=5.187 alpha=90.00 beta=90.00 gamma=90.00
Sites, in units of the cell vectors:
Li: 0.000 0.000 0.000
Ti: 0.000 0.000 0.500
As: 0.000 0.500 0.500
As: 0.500 0.000 0.500
Au: 0.500 0.500 0.000

Output
Density of states at the Fermi level   3.09 states/eV/f.u.
E_tot   -4.1412 eV/atom
Crystal system   tetragonal
Space group   No. 123
M_tot   0.90 μB per formula unit


LiTmAsAu: optimized geometry, PBE-GGA.

Unit cell a=4.827 b=4.827 c=4.827 alpha=60.00 beta=60.00 gamma=60.00
Sites, in units of the cell vectors:
Li: 0.000 0.000 0.000
Tm: 0.500 0.500 0.500
As: 0.250 0.250 0.250
Au: 0.750 0.750 0.750

Output
Density of states at the Fermi level   0.23 states/eV/f.u.
E_tot   -4.4147 eV/atom
Crystal system   cubic
Space group   No. 216
M_tot   0.00 μB per formula unit


LiUAsAu: optimized geometry, PBE-GGA.

Unit cell a=4.859 b=4.859 c=4.859 alpha=60.00 beta=60.00 gamma=60.00
Sites, in units of the cell vectors:
Li: 0.000 0.000 0.000
U: 0.500 0.500 0.500
As: 0.750 0.750 0.750
Au: 0.250 0.250 0.250

Output
Density of states at the Fermi level   4.95 states/eV/f.u.
E_tot   -5.7174 eV/atom
Crystal system   cubic
Space group   No. 216
M_tot   2.92 μB per formula unit


LuAs2Au: optimized geometry, PBE-GGA.

Unit cell a=6.085 b=6.085 c=6.085 alpha=48.95 beta=48.95 gamma=48.95
Sites, in units of the cell vectors:
Lu: 0.000 0.000 0.000
As: 0.347 0.347 0.347
As: 0.653 0.653 0.653
Au: 0.500 0.500 0.500

Output
Density of states at the Fermi level   1.68 states/eV/f.u.
E_tot   -4.4344 eV/atom
Crystal system   trigonal
Space group   No. 166
M_tot   0.00 μB per formula unit


LuAs2Au: optimized geometry, PBE-GGA.

Unit cell a=4.545 b=4.545 c=3.793 alpha=90.00 beta=90.00 gamma=90.00
Sites, in units of the cell vectors:
Lu: 0.000 0.000 0.000
As: 0.000 0.500 0.500
As: 0.500 0.000 0.500
Au: 0.500 0.500 0.000

Output
Density of states at the Fermi level   1.87 states/eV/f.u.
E_tot   -4.8479 eV/atom
Crystal system   tetragonal
Space group   No. 123
M_tot   0.00 μB per formula unit


LuAsAu2: optimized geometry, PBE-GGA.

Unit cell a=3.991 b=3.991 c=5.007 alpha=90.00 beta=90.00 gamma=90.00
Sites, in units of the cell vectors:
Lu: 0.000 0.000 0.000
As: 0.500 0.500 0.000
Au: 0.000 0.500 0.500
Au: 0.500 0.000 0.500

Output
Density of states at the Fermi level   0.82 states/eV/f.u.
E_tot   -4.5703 eV/atom
Crystal system   tetragonal
Space group   No. 123
M_tot   0.00 μB per formula unit


LuAsAu: optimized geometry, PBE-GGA.

Unit cell a=4.264 b=4.264 c=4.089 alpha=90.00 beta=90.00 gamma=120.00
Sites, in units of the cell vectors:
Lu: 0.000 0.000 0.000
As: 0.667 0.333 0.386
Au: 0.333 0.667 0.609

Output
Density of states at the Fermi level   1.07 states/eV/f.u.
E_tot   -4.9261 eV/atom
Crystal system   trigonal
Space group   No. 156
M_tot   0.00 μB per formula unit


MgAsAu2: optimized geometry, PBE-GGA.

Unit cell a=5.245 b=5.245 c=5.245 alpha=134.10 beta=134.10 gamma=66.94
Sites, in units of the cell vectors:
Mg: 0.000 0.000 0.000
As: 0.500 0.500 0.000
Au: 0.250 0.750 0.500
Au: 0.750 0.250 0.500

Output
Density of states at the Fermi level   1.94 states/eV/f.u.
E_tot   -3.4243 eV/atom
Crystal system   tetragonal
Space group   No. 139
M_tot   0.00 μB per formula unit


Mg2AsAu: optimized geometry, PBE-GGA.

Unit cell a=3.527 b=4.606 c=4.607 alpha=90.00 beta=90.00 gamma=90.00
Sites, in units of the cell vectors:
Mg: 0.000 0.000 0.000
Mg: 0.000 0.500 0.498
As: 0.500 0.000 0.500
Au: 0.500 0.500 0.998

Output
Density of states at the Fermi level   0.78 states/eV/f.u.
E_tot   -3.2275 eV/atom
Crystal system   orthorhombic
Space group   No. 25
M_tot   0.00 μB per formula unit


MgAs2Au2: optimized geometry, PBE-GGA.

Unit cell a=7.286 b=7.286 c=3.726 alpha=90.00 beta=90.00 gamma=90.00
Sites, in units of the cell vectors:
Mg: 0.000 0.000 0.000
Mg: 0.500 0.500 0.000
As: 0.176 0.324 0.500
As: 0.324 0.824 0.500
As: 0.676 0.176 0.500
As: 0.824 0.676 0.500
Au: 0.136 0.636 0.000
Au: 0.364 0.136 0.000
Au: 0.636 0.864 0.000
Au: 0.864 0.364 0.000

Output
Density of states at the Fermi level   2.29 states/eV/f.u.
E_tot   -3.5046 eV/atom
Crystal system   tetragonal
E above lowest polymorph   0.17 eV/f.u.
Space group   No. 127
M_tot   0.00 μB per formula unit